DFT (GGA-PBE) results for crystalline NbCoCu at its relaxed geometry.

Calculated values
- E: -19.88 eV per cell
- DFT formation energy: 0.35 eV per atom
- Space group: F-43m, No. 216
- Polymorph energy (0 for the lowest one): 0.0 kJ/mol of atoms

Lattice parameters (Å, degrees): 4.019 4.019 4.019 60.00 60.00 60.00
Fractional positions:
Nb 0.000 0.000 0.000
Co 0.750 0.750 0.750
Cu 0.500 0.500 0.500